(1)
# PrTm3Ga2 PBE-GGA relaxed
# energy of formation	-412	meV/atom
# E above lowest polymorph	0.000	eV per atom
# volume	309	Å³/cell
data_PrTm3Ga2
_space_group_name_H-M_alt 'P m c 21'
_space_group_IT_number 26
_cell_length_a 4.899
_cell_length_b 9.531
_cell_length_c 6.622
_cell_angle_alpha 90.00
_cell_angle_beta 90.00
_cell_angle_gamma 90.00
loop_
_space_group_symop_operation_xyz
'x,y,z'
'-x,-y,z+1/2'
'-x,y,z'
'x,-y,z+1/2'
loop_
_atom_site_label
_atom_site_fract_x
_atom_site_fract_y
_atom_site_fract_z
Pr1 0.000 0.050 0.000
Tm1 0.000 0.325 0.620
Tm2 0.500 0.192 0.289
Tm3 0.500 0.447 0.917
Ga1 0.000 0.367 0.169
Ga2 0.500 0.143 0.738


(2)
# PrTmGa3 PBE-GGA relaxed
# energy of formation	-657	meV/atom
# volume	463	Å³/cell
data_PrTmGa3
_space_group_name_H-M_alt 'C m c m'
_space_group_IT_number 63
_space_group_name_Hall '-C 2c 2'
_cell_length_a 4.298
_cell_length_b 25.607
_cell_length_c 4.208
_cell_angle_alpha 90.00
_cell_angle_beta 90.00
_cell_angle_gamma 90.00
loop_
_atom_site_label
_atom_site_fract_x
_atom_site_fract_y
_atom_site_fract_z
Pr1 0.000 0.074 0.250
Tm1 0.000 0.204 0.750
Ga1 0.000 0.321 0.750
Ga2 0.000 0.378 0.250
Ga3 0.000 0.476 0.250


(3)
# Pr2TmGa2 PBE-GGA relaxed
# energy of formation	-464	meV/atom
# E above lowest polymorph	0.040	eV per atom
# volume	548	Å³/cell
data_Pr2TmGa2
_space_group_name_H-M_alt 'C 1 2/m 1'
_space_group_IT_number 12
_cell_length_a 12.096
_cell_length_b 4.669
_cell_length_c 11.194
_cell_angle_alpha 90.00
_cell_angle_beta 119.90
_cell_angle_gamma 90.00
loop_
_space_group_symop_operation_xyz
'x,y,z'
'-x,-y,-z'
'-x,y,-z'
'x,-y,z'
'x+1/2,y+1/2,z'
'-x+1/2,-y+1/2,-z'
'-x+1/2,y+1/2,-z'
'x+1/2,-y+1/2,z'
loop_
_atom_site_label
_atom_site_fract_x
_atom_site_fract_y
_atom_site_fract_z
Pr1 0.024 0.000 0.187
Pr2 0.189 0.000 0.604
Tm1 0.208 0.500 0.863
Ga1 0.034 0.500 0.405
Ga2 0.125 0.500 0.072


(4)
# Pr3TmGa4 PBE-GGA relaxed
# energy of formation	-422	meV/atom
# E above lowest polymorph	0.134	eV per atom
# volume	442	Å³/cell
data_Pr3TmGa4
_space_group_name_H-M_alt 'I m m m'
_space_group_IT_number 71
_space_group_name_Hall '-I 2 2'
_cell_length_a 3.807
_cell_length_b 6.833
_cell_length_c 16.979
_cell_angle_alpha 90.00
_cell_angle_beta 90.00
_cell_angle_gamma 90.00
loop_
_atom_site_label
_atom_site_fract_x
_atom_site_fract_y
_atom_site_fract_z
Pr1 0.000 0.000 0.000
Pr2 0.000 0.500 0.202
Tm1 0.000 0.000 0.500
Ga1 0.000 0.306 0.373


(5)
# PrTm2Ga9 PBE-GGA relaxed
# energy of formation	-508	meV/atom
# volume	238	Å³/cell
data_PrTm2Ga9
_space_group_name_H-M_alt 'P 4/m m m'
_space_group_IT_number 123
_space_group_name_Hall '-P 4 2'
_cell_length_a 4.301
_cell_length_b 4.301
_cell_length_c 12.861
_cell_angle_alpha 90.00
_cell_angle_beta 90.00
_cell_angle_gamma 90.00
loop_
_atom_site_label
_atom_site_fract_x
_atom_site_fract_y
_atom_site_fract_z
Pr1 0.000 0.000 0.000
Tm1 0.000 0.000 0.338
Ga1 0.000 0.500 0.175
Ga2 0.000 0.500 0.500
Ga3 0.500 0.500 0.000
Ga4 0.500 0.500 0.334


(6)
# PrTmGa2 PBE-GGA relaxed
# energy of formation	-568	meV/atom
# E above lowest polymorph	0.021	eV per atom
# volume	95	Å³/cell
data_PrTmGa2
_space_group_name_H-M_alt 'P 4/m m m'
_space_group_IT_number 123
_space_group_name_Hall '-P 4 2'
_cell_length_a 3.627
_cell_length_b 3.627
_cell_length_c 7.225
_cell_angle_alpha 90.00
_cell_angle_beta 90.00
_cell_angle_gamma 90.00
loop_
_atom_site_label
_atom_site_fract_x
_atom_site_fract_y
_atom_site_fract_z
Pr1 0.000 0.000 0.000
Tm1 0.000 0.000 0.500
Ga1 0.500 0.500 0.273


(7)
# PrTm3Ga4 PBE-GGA relaxed
# energy of formation	-555	meV/atom
# volume	183	Å³/cell
data_PrTm3Ga4
_space_group_name_H-M_alt 'P 4/m m m'
_space_group_IT_number 123
_space_group_name_Hall '-P 4 2'
_cell_length_a 5.059
_cell_length_b 5.059
_cell_length_c 7.159
_cell_angle_alpha 90.00
_cell_angle_beta 90.00
_cell_angle_gamma 90.00
loop_
_atom_site_label
_atom_site_fract_x
_atom_site_fract_y
_atom_site_fract_z
Pr1 0.000 0.000 0.000
Tm1 0.000 0.000 0.500
Tm2 0.500 0.500 0.000
Tm3 0.500 0.500 0.500
Ga1 0.000 0.500 0.262


(8)
# Pr2Tm3Ga2 PBE-GGA relaxed
# energy of formation	-308	meV/atom
# volume	399	Å³/cell
data_Pr2Tm3Ga2
_space_group_name_H-M_alt 'C 1 2/m 1'
_space_group_IT_number 12
_cell_length_a 12.129
_cell_length_b 4.242
_cell_length_c 8.454
_cell_angle_alpha 90.00
_cell_angle_beta 113.34
_cell_angle_gamma 90.00
loop_
_space_group_symop_operation_xyz
'x,y,z'
'-x,-y,-z'
'-x,y,-z'
'x,-y,z'
'x+1/2,y+1/2,z'
'-x+1/2,-y+1/2,-z'
'-x+1/2,y+1/2,-z'
'x+1/2,-y+1/2,z'
loop_
_atom_site_label
_atom_site_fract_x
_atom_site_fract_y
_atom_site_fract_z
Pr1 0.147 0.000 0.306
Tm1 0.000 0.500 0.500
Tm2 0.125 0.500 0.942
Ga1 0.166 0.000 0.715


(9)
# PrTm2Ga4 PBE-GGA relaxed
# energy of formation	-643	meV/atom
# volume	324	Å³/cell
data_PrTm2Ga4
_space_group_name_H-M_alt 'I m m m'
_space_group_IT_number 71
_space_group_name_Hall '-I 2 2'
_cell_length_a 4.152
_cell_length_b 4.300
_cell_length_c 18.155
_cell_angle_alpha 90.00
_cell_angle_beta 90.00
_cell_angle_gamma 90.00
loop_
_atom_site_label
_atom_site_fract_x
_atom_site_fract_y
_atom_site_fract_z
Pr1 0.000 0.000 0.000
Tm1 0.000 0.500 0.315
Ga1 0.000 0.000 0.431
Ga2 0.000 0.500 0.150


(10)
# PrTmGa2 PBE-GGA relaxed
# energy of formation	-522	meV/atom
# E above lowest polymorph	0.067	eV per atom
# volume	406	Å³/cell
data_PrTmGa2
_space_group_name_H-M_alt 'P n m a'
_space_group_IT_number 62
_cell_length_a 8.468
_cell_length_b 4.230
_cell_length_c 11.331
_cell_angle_alpha 90.00
_cell_angle_beta 90.00
_cell_angle_gamma 90.00
loop_
_space_group_symop_operation_xyz
'x,y,z'
'-x,-y,-z'
'-x+1/2,-y,z+1/2'
'x+1/2,y,-z+1/2'
'x+1/2,-y+1/2,-z+1/2'
'-x+1/2,y+1/2,z+1/2'
'-x,y+1/2,-z'
'x,-y+1/2,z'
loop_
_atom_site_label
_atom_site_fract_x
_atom_site_fract_y
_atom_site_fract_z
Pr1 0.139 0.250 0.139
Tm1 0.011 0.750 0.383
Ga1 0.143 0.250 0.839
Ga2 0.250 0.250 0.441


(11)
# PrTmGa6 PBE-GGA relaxed
# energy of formation	-525	meV/atom
# volume	161	Å³/cell
data_PrTmGa6
_space_group_name_H-M_alt 'P -6 m 2'
_space_group_IT_number 187
_space_group_name_Hall 'P -6 2'
_cell_length_a 6.3487
_cell_length_b 6.3487
_cell_length_c 4.6083
_cell_angle_alpha 90.00
_cell_angle_beta 90.00
_cell_angle_gamma 120.00
loop_
_atom_site_label
_atom_site_fract_x
_atom_site_fract_y
_atom_site_fract_z
Pr1 0.0000 0.0000 0.0000
Tm1 0.6667 0.3333 0.5000
Ga1 0.0375 0.5187 0.0000
Ga2 0.1903 0.3807 0.5000


(12)
# Pr3TmGa3 PBE-GGA relaxed
# energy of formation	-337	meV/atom
# volume	801	Å³/cell
data_Pr3TmGa3
_space_group_name_H-M_alt 'C 1 2/m 1'
_space_group_IT_number 12
_cell_length_a 9.446
_cell_length_b 11.100
_cell_length_c 7.644
_cell_angle_alpha 90.00
_cell_angle_beta 91.07
_cell_angle_gamma 90.00
loop_
_space_group_symop_operation_xyz
'x,y,z'
'-x,-y,-z'
'-x,y,-z'
'x,-y,z'
'x+1/2,y+1/2,z'
'-x+1/2,-y+1/2,-z'
'-x+1/2,y+1/2,-z'
'x+1/2,-y+1/2,z'
loop_
_atom_site_label
_atom_site_fract_x
_atom_site_fract_y
_atom_site_fract_z
Pr1 0.000 0.183 0.000
Pr2 0.000 0.251 0.500
Pr3 0.156 0.500 0.850
Tm1 0.228 0.500 0.378
Ga1 0.042 0.000 0.307
Ga2 0.246 0.259 0.237